No. 1
This record from Alexandria via LeMat-Bulk describes a geometry-optimized Nd2DyEr6Tm3 structure. The functional is PBE.

CIF file:
```
data_Nd2DyEr6Tm3
_chemical_formula_sum 'Nd4 Dy2 Er12 Tm6'
_space_group_name_H-M_alt 'C 1 2/m 1'
_space_group_IT_number 12
_cell_length_a 6.125
_cell_length_b 10.599
_cell_length_c 11.694
_cell_angle_alpha 90.00
_cell_angle_beta 100.03
_cell_angle_gamma 90.00
loop_
_space_group_symop_operation_xyz
'x,y,z'
'-x,-y,-z'
'-x,y,-z'
'x,-y,z'
'x+1/2,y+1/2,z'
'-x+1/2,-y+1/2,-z'
'-x+1/2,y+1/2,-z'
'x+1/2,-y+1/2,z'
loop_
_atom_site_label
_atom_site_type_symbol
_atom_site_fract_x
_atom_site_fract_y
_atom_site_fract_z
_atom_site_occupancy
Nd1 Nd 0.000 0.167 0.000 1
Dy1 Dy 0.000 0.500 0.000 1
Er1 Er 0.247 0.500 0.746 1
Er2 Er 0.248 0.166 0.746 1
Tm1 Tm 0.000 0.000 0.500 1
Tm2 Tm 0.000 0.334 0.500 1
```

Values from the calculation:
- crystal system = monoclinic
- size of the total moment (μB per formula unit) = 0.00
- DFT total energy (eV/atom) = -4.5543
- mass density (g/cm3) = 8.7

No. 2
This record from Alexandria via LeMat-Bulk describes a geometry-optimized NdDy5Er2Tm structure. The functional is PBE.

CIF file:
```
data_NdDy5Er2Tm
_chemical_formula_sum 'Nd4 Dy20 Er8 Tm4'
_space_group_name_H-M_alt 'C m c 21'
_space_group_IT_number 36
_cell_length_a 5.588
_cell_length_b 19.757
_cell_length_c 10.510
_cell_angle_alpha 90.00
_cell_angle_beta 90.00
_cell_angle_gamma 90.00
loop_
_space_group_symop_operation_xyz
'x,y,z'
'-x,-y,z+1/2'
'-x,y,z'
'x,-y,z+1/2'
'x+1/2,y+1/2,z'
'-x+1/2,-y+1/2,z+1/2'
'-x+1/2,y+1/2,z'
'x+1/2,-y+1/2,z+1/2'
loop_
_atom_site_label
_atom_site_type_symbol
_atom_site_fract_x
_atom_site_fract_y
_atom_site_fract_z
_atom_site_occupancy
Nd1 Nd 0.000 0.085 0.000 1
Dy1 Dy 0.000 0.021 0.285 1
Dy2 Dy 0.000 0.114 0.570 1
Dy3 Dy 0.000 0.202 0.256 1
Dy4 Dy 0.000 0.219 0.861 1
Dy5 Dy 0.000 0.482 0.570 1
Er1 Er 0.000 0.386 0.865 1
Er2 Er 0.000 0.389 0.283 1
Tm1 Tm 0.000 0.301 0.560 1
```

Values from the calculation:
- crystal system = orthorhombic
- size of the total moment (μB per formula unit) = 0.01
- DFT total energy (eV/atom) = -4.4355
- mass density (g/cm3) = 8.4

No. 3
This record from Alexandria via LeMat-Bulk describes a geometry-optimized NdDy2Er2Tm structure. The functional is PBE.

CIF file:
```
data_NdDy2Er2Tm
_chemical_formula_sum 'Nd2 Dy4 Er4 Tm2'
_space_group_name_H-M_alt 'P n n m'
_space_group_IT_number 58
_cell_length_a 6.470
_cell_length_b 17.738
_cell_length_c 3.398
_cell_angle_alpha 90.00
_cell_angle_beta 90.00
_cell_angle_gamma 90.00
loop_
_space_group_symop_operation_xyz
'x,y,z'
'-x,-y,-z'
'-x,-y,z'
'x,y,-z'
'x+1/2,-y+1/2,-z+1/2'
'-x+1/2,y+1/2,z+1/2'
'-x+1/2,y+1/2,-z+1/2'
'x+1/2,-y+1/2,z+1/2'
loop_
_atom_site_label
_atom_site_type_symbol
_atom_site_fract_x
_atom_site_fract_y
_atom_site_fract_z
_atom_site_occupancy
Nd1 Nd 0.000 0.000 0.000 1
Dy1 Dy 0.220 0.188 0.000 1
Er1 Er 0.217 0.353 0.500 1
Tm1 Tm 0.000 0.500 0.000 1
```

Values from the calculation:
- crystal system = orthorhombic
- size of the total moment (μB per formula unit) = 0.00
- DFT total energy (eV/atom) = -4.3152
- mass density (g/cm3) = 8.3

No. 4
This record from Alexandria via LeMat-Bulk describes a geometry-optimized Nd2Dy6ErTm structure. The functional is PBE.

CIF file:
```
data_Nd2Dy6ErTm
_chemical_formula_sum 'Nd8 Dy24 Er4 Tm4'
_space_group_name_H-M_alt 'C 1 2/c 1'
_space_group_IT_number 15
_cell_length_a 9.003
_cell_length_b 15.028
_cell_length_c 9.673
_cell_angle_alpha 90.00
_cell_angle_beta 98.95
_cell_angle_gamma 90.00
loop_
_space_group_symop_operation_xyz
'x,y,z'
'-x,-y,-z'
'-x,y,-z+1/2'
'x,-y,z+1/2'
'x+1/2,y+1/2,z'
'-x+1/2,-y+1/2,-z'
'-x+1/2,y+1/2,-z+1/2'
'x+1/2,-y+1/2,z+1/2'
loop_
_atom_site_label
_atom_site_type_symbol
_atom_site_fract_x
_atom_site_fract_y
_atom_site_fract_z
_atom_site_occupancy
Nd1 Nd 0.246 0.052 0.042 1
Dy1 Dy 0.064 0.190 0.443 1
Dy2 Dy 0.103 0.395 0.619 1
Dy3 Dy 0.202 0.222 0.812 1
Er1 Er 0.000 0.018 0.750 1
Tm1 Tm 0.000 0.407 0.250 1
```

Values from the calculation:
- crystal system = monoclinic
- size of the total moment (μB per formula unit) = 0.00
- DFT total energy (eV/atom) = -4.5021
- mass density (g/cm3) = 8.2

No. 5
This record from Alexandria via LeMat-Bulk describes a geometry-optimized NdDy5ErTm2 structure. The functional is PBE.

CIF file:
```
data_NdDy5ErTm2
_chemical_formula_sum 'Nd4 Dy20 Er4 Tm8'
_space_group_name_H-M_alt 'C m c 21'
_space_group_IT_number 36
_cell_length_a 5.583
_cell_length_b 19.776
_cell_length_c 10.498
_cell_angle_alpha 90.00
_cell_angle_beta 90.00
_cell_angle_gamma 90.00
loop_
_space_group_symop_operation_xyz
'x,y,z'
'-x,-y,z+1/2'
'-x,y,z'
'x,-y,z+1/2'
'x+1/2,y+1/2,z'
'-x+1/2,-y+1/2,z+1/2'
'-x+1/2,y+1/2,z'
'x+1/2,-y+1/2,z+1/2'
loop_
_atom_site_label
_atom_site_type_symbol
_atom_site_fract_x
_atom_site_fract_y
_atom_site_fract_z
_atom_site_occupancy
Nd1 Nd 0.000 0.085 0.000 1
Dy1 Dy 0.000 0.021 0.286 1
Dy2 Dy 0.000 0.113 0.572 1
Dy3 Dy 0.000 0.202 0.258 1
Dy4 Dy 0.000 0.219 0.862 1
Dy5 Dy 0.000 0.482 0.572 1
Er1 Er 0.000 0.301 0.561 1
Tm1 Tm 0.000 0.386 0.867 1
Tm2 Tm 0.000 0.389 0.284 1
```

Values from the calculation:
- crystal system = orthorhombic
- size of the total moment (μB per formula unit) = 0.00
- DFT total energy (eV/atom) = -4.4240
- mass density (g/cm3) = 8.4

No. 6
This record from Alexandria via LeMat-Bulk describes a geometry-optimized Nd4Dy2Er2Tm structure. The functional is PBE.

CIF file:
```
data_Nd4Dy2Er2Tm
_chemical_formula_sum 'Nd8 Dy4 Er4 Tm2'
_space_group_name_H-M_alt 'C 1 2/m 1'
_space_group_IT_number 12
_cell_length_a 15.257
_cell_length_b 5.078
_cell_length_c 8.017
_cell_angle_alpha 90.00
_cell_angle_beta 108.51
_cell_angle_gamma 90.00
loop_
_space_group_symop_operation_xyz
'x,y,z'
'-x,-y,-z'
'-x,y,-z'
'x,-y,z'
'x+1/2,y+1/2,z'
'-x+1/2,-y+1/2,-z'
'-x+1/2,y+1/2,-z'
'x+1/2,-y+1/2,z'
loop_
_atom_site_label
_atom_site_type_symbol
_atom_site_fract_x
_atom_site_fract_y
_atom_site_fract_z
_atom_site_occupancy
Nd1 Nd 0.054 0.000 0.331 1
Nd2 Nd 0.223 0.500 0.331 1
Dy1 Dy 0.111 0.500 0.671 1
Er1 Er 0.167 0.000 0.000 1
Tm1 Tm 0.000 0.500 0.000 1
```

Values from the calculation:
- crystal system = monoclinic
- size of the total moment (μB per formula unit) = 0.00
- DFT total energy (eV/atom) = -4.6294
- mass density (g/cm3) = 7.9

No. 7
This record from Alexandria via LeMat-Bulk describes a geometry-optimized Nd2Dy4ErTm2 structure. The functional is PBE.

CIF file:
```
data_Nd2Dy4ErTm2
_chemical_formula_sum 'Nd2 Dy4 Er1 Tm2'
_space_group_name_H-M_alt 'P -1'
_space_group_IT_number 2
_cell_length_a 5.990
_cell_length_b 6.613
_cell_length_c 8.575
_cell_angle_alpha 79.66
_cell_angle_beta 70.11
_cell_angle_gamma 64.82
loop_
_space_group_symop_operation_xyz
'x,y,z'
'-x,-y,-z'
loop_
_atom_site_label
_atom_site_type_symbol
_atom_site_fract_x
_atom_site_fract_y
_atom_site_fract_z
_atom_site_occupancy
Nd1 Nd 0.234 0.323 0.342 1
Dy1 Dy 0.114 0.127 0.764 1
Dy2 Dy 0.241 0.572 0.883 1
Er1 Er 0.500 0.000 0.000 1
Tm1 Tm 0.321 0.771 0.446 1
```

Values from the calculation:
- crystal system = triclinic
- size of the total moment (μB per formula unit) = 0.00
- DFT total energy (eV/atom) = -4.5193
- mass density (g/cm3) = 8.3

No. 8
This record from Alexandria via LeMat-Bulk describes a geometry-optimized NdDy2Er3Tm6 structure. The functional is PBE.

CIF file:
```
data_NdDy2Er3Tm6
_chemical_formula_sum 'Nd2 Dy4 Er6 Tm12'
_space_group_name_H-M_alt 'C 1 2/m 1'
_space_group_IT_number 12
_cell_length_a 6.095
_cell_length_b 10.544
_cell_length_c 11.639
_cell_angle_alpha 90.00
_cell_angle_beta 100.03
_cell_angle_gamma 90.00
loop_
_space_group_symop_operation_xyz
'x,y,z'
'-x,-y,-z'
'-x,y,-z'
'x,-y,z'
'x+1/2,y+1/2,z'
'-x+1/2,-y+1/2,-z'
'-x+1/2,y+1/2,-z'
'x+1/2,-y+1/2,z'
loop_
_atom_site_label
_atom_site_type_symbol
_atom_site_fract_x
_atom_site_fract_y
_atom_site_fract_z
_atom_site_occupancy
Nd1 Nd 0.000 0.000 0.000 1
Dy1 Dy 0.000 0.333 0.000 1
Er1 Er 0.000 0.167 0.500 1
Er2 Er 0.000 0.500 0.500 1
Tm1 Tm 0.248 0.333 0.748 1
Tm2 Tm 0.249 0.000 0.748 1
```

Values from the calculation:
- crystal system = monoclinic
- size of the total moment (μB per formula unit) = 0.00
- DFT total energy (eV/atom) = -4.5169
- mass density (g/cm3) = 8.9

No. 9
This record from Alexandria via LeMat-Bulk describes a geometry-optimized NdDyYEr3 structure. The functional is PBE.

CIF file:
```
data_NdDyYEr3
_chemical_formula_sum 'Nd4 Dy4 Y4 Er12'
_space_group_name_H-M_alt 'C m c m'
_space_group_IT_number 63
_space_group_name_Hall '-C 2c 2'
_cell_length_a 5.024
_cell_length_b 15.075
_cell_length_c 10.052
_cell_angle_alpha 90.00
_cell_angle_beta 90.00
_cell_angle_gamma 90.00
loop_
_atom_site_label
_atom_site_type_symbol
_atom_site_fract_x
_atom_site_fract_y
_atom_site_fract_z
_atom_site_occupancy
Nd1 Nd 0.000 0.001 0.250 1
Dy1 Dy 0.000 0.500 0.000 1
Y1 Y 0.000 0.332 0.250 1
Er1 Er 0.000 0.167 0.000 1
Er2 Er 0.000 0.333 0.750 1
```

Values from the calculation:
- crystal system = orthorhombic
- size of the total moment (μB per formula unit) = 0.00
- DFT total energy (eV/atom) = -4.8969
- mass density (g/cm3) = 7.8

| no. | E_form (eV per atom) |
| --- | --- |
| 1 | 0.0232 |
| 2 | 0.1618 |
| 3 | 0.2797 |
| 4 | 0.1162 |
| 5 | 0.1632 |
| 6 | 0.0231 |
| 7 | 0.0862 |
| 8 | 0.0239 |
| 9 | 0.0235 |